The following is a DFT calculation (PBE) of crystalline TmScAg2Se4 at its relaxed geometry.

Cell and atoms, written as extended XYZ:
```
8
Lattice="6.9853 0.0000 0.0000 0.0000 4.0410 0.0000 -2.3961 0.0000 6.5675" Properties=species:S:1:pos:R:3 pbc="T T T"
Tm 0.0000 0.0000 0.0000
Sc -1.1981 2.0205 3.2838
Ag 2.2946 0.0000 3.2838
Ag 3.4927 2.0205 0.0000
Se -0.1367 0.0000 4.8553
Se 1.0456 2.0205 1.6802
Se 3.5436 2.0205 4.8873
Se 4.7259 0.0000 1.7122
```

Results
E_tot	-4.898	eV per atom